A plane-wave DFT calculation with GGA-PBE was carried out for a relaxed Tc3SeCl crystal.

Geometry as POSCAR:
```
Tc3SeCl
1.0
4.404 0.000 0.000
0.000 4.404 0.000
0.000 0.000 4.404
Tc Se Cl
3 1 1
direct
0.000 0.000 0.500
0.000 0.500 0.000
0.500 0.000 0.000
0.500 0.500 0.500
0.000 0.000 0.000
```

## Properties
The calculation puts the formation energy (no corrections) at 6.506 eV/f.u. For the calculated total energy, the calculation gives -5.9846 eV/atom. The value obtained for the density is 7.94 g/cm³. The crystal system is cubic.